This record from the Alexandria database describes SbH after structural relaxation. The functional is PBE.

Properties
**Space-group type**: P1 (1)
**ΔE to the lowest computed polymorph**: 0.0001 eV/atom

extended XYZ file:
```
4
Lattice="-3.455 2.206 -0.004 1.647 -1.232 -3.548 -4.019 -6.632 2.379" Properties=species:S:1:pos:R:3 pbc="T T T"
Sb -5.231 -4.766 -1.254
Sb -2.044 0.562 -1.198
H -1.571 -2.930 -0.171
H -2.079 -3.297 0.246
```

***

This record from the Alexandria database describes NdY7Ho2 after structural relaxation. The functional is PBE.

Properties
**Space-group type**: Cmmm (65)
**ΔE to the lowest computed polymorph**: 0.4753 eV/atom
**ΔH_f (0 K)**: 6.94 eV per formula unit

extended XYZ file:
```
10
Lattice="-5.395 -0.923 1.505 -0.264 -7.296 -5.422 2.531 -0.587 8.715" Properties=species:S:1:pos:R:3 pbc="T T T"
Nd 0.000 0.000 0.000
Y 0.363 -5.790 -2.249
Y 1.904 -2.093 5.542
Y -1.967 -1.075 2.996
Y -1.162 -7.731 1.801
Y -2.623 -2.649 -0.322
Y -0.506 -6.157 5.119
Y -1.564 -4.403 2.399
Ho -2.132 -5.766 -0.474
Ho -0.996 -3.040 5.271
```

***

This record from the Alexandria database describes Ce2Al3Rh after structural relaxation. The functional is PBE.

Properties
**Space-group type**: R-3m (166)
**ΔH_f (0 K)**: -3.77 eV per formula unit

extended XYZ file:
```
6
Lattice="1.203 4.501 3.160 -3.815 0.394 -4.120 -2.624 -4.242 2.023" Properties=species:S:1:pos:R:3 pbc="T T T"
Ce -0.966 2.953 1.175
Ce -4.270 -2.301 -0.112
Al -2.618 0.326 0.531
Al -1.312 -2.121 1.012
Al -0.710 0.129 2.592
Rh 0.000 0.000 0.000
```

***

no.,calculated total energy (eV for the cell shown)
1,-14.830
2,-52.232
3,-34.218